# 1
A plane-wave DFT calculation with PBE-GGA was carried out for a geometry-optimized Pr structure.

The theoretical density is 6.535 g/cm³. As for the total energy: -4.626 eV per atom. Its distance to the lowest polymorph of the same formula is 149.1 meV per atom. The calculation puts the energy of formation from the pure elements at 14.4 kJ/mol of atoms.

It has space group I-43m (No. 217), with a = 12.758 Å, b = 12.758 Å, c = 12.758 Å, α = 90.00°, β = 90.00° and γ = 90.00°. The distinct sites, in fractional coordinates, are Pr at (0.000, 0.000, 0.000), Pr at (0.049, 0.366, 0.634), Pr at (0.094, 0.094, 0.718) and Pr at (0.182, 0.182, 0.182).

# 2
A plane-wave DFT calculation with PBE-GGA was carried out for a geometry-optimized ReI structure.

The theoretical density is 9.909 g/cm³. As for the total energy: -5.119 eV per atom. Its distance to the lowest polymorph of the same formula is 408.0 meV per atom.

It has space group F-43m (No. 216), with a = 5.943 Å, b = 5.943 Å, c = 5.943 Å, α = 90.00°, β = 90.00° and γ = 90.00°. The distinct sites, in fractional coordinates, are Re at (0.000, 0.000, 0.000) and I at (0.250, 0.250, 0.250).